Entry 1:
Sr4In3Hg | GGA-PBE | relaxed

The structure in POSCAR format:
```
Sr4In3Hg
1.0
-0.557 3.913 -0.947
-3.782 -0.836 -1.232
-5.496 2.835 14.944
Hg Sr In
1 4 3
Direct
0.500 0.500 0.000
0.000 0.000 0.625
0.000 0.000 0.123
0.000 0.000 0.375
0.000 0.000 0.877
0.500 0.500 0.749
0.500 0.500 0.251
0.500 0.500 0.500
```

Volume (Å³ per cell): 267.2
Mass density (g/cm3): 5.566
SG: P4/mmm (123)
Formation energy from the elements (eV per formula unit): -3.66
Raw total energy (hartree per atom): -0.0868

***

Entry 2:
Sr2In3Hg | GGA-PBE | relaxed

The structure in POSCAR format:
```
Sr2In3Hg
1.0
-3.480 0.849 3.593
-5.984 -1.558 -1.847
-1.227 -5.250 3.634
In Sr Hg
3 2 1
Direct
0.835 0.224 0.106
0.839 0.609 0.713
0.161 0.781 0.898
0.542 0.211 0.705
0.457 0.790 0.295
0.166 0.385 0.284
```

Volume (Å³ per cell): 179.8
Mass density (g/cm3): 6.651
SG: Cm (8)
Formation energy from the elements (eV per formula unit): -2.80
Raw total energy (hartree per atom): -0.0899

***

Entry 3:
SrInHg2 | GGA-PBE | relaxed

The structure in POSCAR format:
```
SrInHg2
1.0
-2.244 -4.800 -3.154
-0.411 -6.121 0.625
-4.551 -1.729 1.603
Hg In Sr
2 1 1
Direct
0.988 0.988 0.013
0.251 0.251 0.247
0.513 0.513 0.490
0.748 0.748 0.750
```

Volume (Å³ per cell): 115.7
Mass density (g/cm3): 8.664
SG: Cm (8)
Formation energy from the elements (eV per formula unit): -1.26
Raw total energy (hartree per atom): -0.0577

***

Number 1: M_tot 0.00 μB/cell. Number 2: M_tot 0.00 μB/cell. Number 3: M_tot 0.00 μB/cell.